# KThCuSe4

KThCuSe4 after structural relaxation (PBE-GGA, Alexandria via LeMat-Bulk).

Unit cell a=5.9717 b=6.3487 c=9.5931 alpha=90.00 beta=108.13 gamma=90.00
Positions (direct):
K: 0.6108 0.7500 0.2216
K: 0.3892 0.2500 0.7784
Th: 0.1007 0.2500 0.2015
Th: 0.8993 0.7500 0.7985
Cu: 0.3093 0.7500 0.6187
Cu: 0.6907 0.2500 0.3813
Se: 0.9417 0.2500 0.8835
Se: 0.4357 0.7500 0.8713
Se: 0.0583 0.7500 0.1165
Se: 0.5643 0.2500 0.1287
Se: 0.5000 0.5000 0.5000
Se: 0.0000 0.0000 0.5000
Se: 0.5000 0.0000 0.5000
Se: 0.0000 0.5000 0.5000

As for the space group: Cmcm. The magnetic moment comes out at 0.00 μB per formula unit. As for the total energy: -4.70 eV per atom. The density of states at the Fermi level comes out at 0.08 states/eV per atom.

---

# KTiCu3Se4

KTiCu3Se4 after structural relaxation (PBE-GGA, Alexandria via LeMat-Bulk).

Unit cell a=6.1055 b=6.1055 c=6.1055 alpha=90.00 beta=90.00 gamma=90.00
Positions (direct):
K: 0.5000 0.5000 0.5000
Ti: 0.0000 0.0000 0.0000
Cu: 0.0000 0.5000 0.0000
Cu: 0.0000 0.0000 0.5000
Cu: 0.5000 0.0000 0.0000
Se: 0.2242 0.2242 0.2242
Se: 0.7758 0.7758 0.2242
Se: 0.2242 0.7758 0.7758
Se: 0.7758 0.2242 0.7758

As for the space group: P-43m. The magnetic moment comes out at 0.00 μB per formula unit. As for the total energy: -4.57 eV per atom.

---

# K2TiCuSe4

K2TiCuSe4 after structural relaxation (PBE-GGA, Alexandria via LeMat-Bulk).

Unit cell a=5.8021 b=7.3712 c=12.5708 alpha=84.79 beta=76.66 gamma=66.82
Positions (direct):
K: 0.1793 0.0000 0.6414
K: 0.8207 0.0000 0.3586
K: 0.5707 0.5000 0.8586
K: 0.9293 0.5000 0.1414
Ti: 0.7500 0.5000 0.5000
Ti: 0.0000 0.0000 0.0000
Cu: 0.2500 0.5000 0.5000
Cu: 0.5000 0.0000 0.0000
Se: 0.2919 0.7968 0.1104
Se: 0.1991 0.2032 0.8896
Se: 0.9113 0.7968 0.8896
Se: 0.5977 0.2032 0.1104
Se: 0.4581 0.7032 0.3896
Se: 0.5509 0.2968 0.6104
Se: 0.8387 0.7032 0.6104
Se: 0.1523 0.2968 0.3896

As for the space group: Fddd. The magnetic moment comes out at 0.00 μB per formula unit. As for the total energy: -4.48 eV per atom. The density of states at the Fermi level comes out at 1.02 states/eV per atom.

---

# KTiCuSe2

KTiCuSe2 after structural relaxation (PBE-GGA, Alexandria via LeMat-Bulk).

Unit cell a=5.4848 b=5.9317 c=7.9073 alpha=112.03 beta=90.00 gamma=90.00
Site moments in Bohr magnetons follow the coordinates.
Positions (direct):
K: 0.2297 0.7500 0.5000  0.00
K: 0.7703 0.2500 0.5000  0.00
Ti: 0.5000 0.7500 0.0000  0.91
Ti: 0.5000 0.2500 0.0000  0.91
Cu: 0.0000 0.0000 0.0000  0.01
Cu: 0.0000 0.5000 0.0000  0.01
Se: 0.7194 0.8833 0.7666  -0.01
Se: 0.7194 0.6167 0.2334  -0.01
Se: 0.2806 0.3833 0.7666  -0.01
Se: 0.2806 0.1167 0.2334  -0.01

As for the space group: Cmme. The magnetic moment comes out at 1.32 μB per formula unit. As for the total energy: -4.79 eV per atom. The density of states at the Fermi level comes out at 0.53 states/eV per atom.

---

# K2TiCuSe

K2TiCuSe after structural relaxation (PBE-GGA, Alexandria via LeMat-Bulk).

Unit cell a=6.4699 b=4.7146 c=6.4699 alpha=90.00 beta=90.00 gamma=90.00
Site moments in Bohr magnetons follow the coordinates.
Positions (direct):
K: 0.0000 0.0000 0.5000  0.03
K: 0.5000 0.0000 0.0000  0.03
Cu: 0.0000 0.5000 0.0000  -0.01
Se: 0.5000 0.5000 0.5000  -0.17
Ti: 0.0000 0.0000 0.0000  2.01

As for the space group: P4/mmm. The magnetic moment comes out at 2.75 μB per formula unit. As for the total energy: -2.78 eV per atom. The density of states at the Fermi level comes out at 1.25 states/eV per atom.

---

# KTlCuSe3

KTlCuSe3 after structural relaxation (PBE-GGA, Alexandria via LeMat-Bulk).

Unit cell a=4.0895 b=9.2338 c=9.5112 alpha=103.35 beta=90.00 gamma=90.00
Positions (direct):
K: 0.2500 0.1871 0.2369
K: 0.7500 0.8129 0.7631
Tl: 0.2500 0.6585 0.1226
Tl: 0.7500 0.3415 0.8774
Cu: 0.2500 0.0700 0.5933
Cu: 0.7500 0.9300 0.4067
Se: 0.7500 0.8782 0.1438
Se: 0.2500 0.1218 0.8562
Se: 0.2500 0.8116 0.4651
Se: 0.7500 0.1884 0.5349
Se: 0.7500 0.4604 0.1772
Se: 0.2500 0.5396 0.8228

As for the space group: P2_1/m. The magnetic moment comes out at 0.00 μB per formula unit. As for the total energy: -3.40 eV per atom. The density of states at the Fermi level comes out at 0.76 states/eV per atom.

---

# KTmCuSe2

KTmCuSe2 after structural relaxation (PBE-GGA, Alexandria via LeMat-Bulk).

Unit cell a=4.5088 b=7.7715 c=8.0708 alpha=97.57 beta=90.00 gamma=90.00
Positions (direct):
K: 0.1381 0.5000 0.7500
K: 0.8619 0.5000 0.2500
Tm: 0.4943 0.0000 0.2500
Tm: 0.5057 0.0000 0.7500
Cu: 0.0000 0.0000 0.0000
Cu: 0.0000 0.0000 0.5000
Se: 0.6514 0.7639 0.9715
Se: 0.6514 0.2361 0.5285
Se: 0.3486 0.7639 0.4715
Se: 0.3486 0.2361 0.0285

As for the space group: P2/c. The magnetic moment comes out at 0.00 μB per formula unit. As for the total energy: -4.33 eV per atom. The density of states at the Fermi level comes out at 0.40 states/eV per atom.

---

# KUCuSe3

KUCuSe3 after structural relaxation (PBE-GGA, Alexandria via LeMat-Bulk).

Unit cell a=4.1112 b=7.6928 c=10.6936 alpha=90.00 beta=90.00 gamma=105.51
Site moments in Bohr magnetons follow the coordinates.
Positions (direct):
K: 0.2530 0.5055 0.2500  0.00
K: 0.7470 0.4945 0.7500  0.00
U: 0.0000 0.0000 0.5000  2.11
U: 0.0000 0.0000 0.0000  2.11
Cu: 0.4687 0.9395 0.7500  -0.04
Cu: 0.5313 0.0605 0.2500  -0.04
Se: 0.6251 0.2496 0.0628  -0.06
Se: 0.3749 0.7504 0.9372  -0.06
Se: 0.3749 0.7504 0.5628  -0.06
Se: 0.6251 0.2496 0.4372  -0.06
Se: 0.0657 0.1325 0.7500  -0.05
Se: 0.9343 0.8675 0.2500  -0.05

As for the space group: P2_1/m. The magnetic moment comes out at 2.00 μB per formula unit. As for the total energy: -5.55 eV per atom. The density of states at the Fermi level comes out at 0.98 states/eV per atom.

---

# KUCuSe4

KUCuSe4 after structural relaxation (PBE-GGA, Alexandria via LeMat-Bulk).

Unit cell a=7.0408 b=5.7604 c=9.4111 alpha=90.00 beta=107.23 gamma=90.00
Site moments in Bohr magnetons follow the coordinates.
Positions (direct):
K: 0.7503 0.7500 0.9463  0.00
K: 0.2497 0.2500 0.0537  0.00
U: 0.7302 0.7500 0.4431  1.55
U: 0.2698 0.2500 0.5569  1.55
Cu: 0.2604 0.7500 0.3287  -0.05
Cu: 0.7396 0.2500 0.6713  -0.05
Se: 0.0183 0.5107 0.7028  -0.05
Se: 0.9817 0.0107 0.2972  -0.05
Se: 0.9817 0.4893 0.2972  -0.05
Se: 0.0183 0.9893 0.7028  -0.05
Se: 0.4624 0.7500 0.1679  -0.08
Se: 0.5376 0.2500 0.8321  -0.08
Se: 0.4290 0.7500 0.5878  -0.08
Se: 0.5710 0.2500 0.4122  -0.08

As for the space group: P2_1/m. The magnetic moment comes out at 1.20 μB per formula unit. As for the total energy: -5.24 eV per atom. The density of states at the Fermi level comes out at 0.76 states/eV per atom.

---

# KU2CuSe5

KU2CuSe5 after structural relaxation (PBE-GGA, Alexandria via LeMat-Bulk).

Unit cell a=7.8769 b=7.8769 c=9.1217 alpha=115.58 beta=115.58 gamma=90.00
Site moments in Bohr magnetons follow the coordinates.
Positions (direct):
K: 0.2500 0.2500 0.5000  0.00
K: 0.7500 0.7500 0.5000  0.00
U: 0.1580 0.3420 0.0000  2.15
U: 0.6580 0.1580 0.0000  2.15
U: 0.3420 0.8420 0.0000  2.15
U: 0.8420 0.6580 0.0000  2.15
Cu: 0.2500 0.7500 0.5000  -0.06
Cu: 0.7500 0.2500 0.5000  -0.06
Se: 0.9792 0.4792 0.2530  -0.08
Se: 0.7262 0.2262 0.7470  -0.08
Se: 0.0208 0.5208 0.7470  -0.08
Se: 0.2262 0.0208 0.7470  -0.08
Se: 0.5208 0.7262 0.7470  -0.08
Se: 0.7738 0.9792 0.2530  -0.08
Se: 0.4792 0.2738 0.2530  -0.08
Se: 0.2738 0.7738 0.2530  -0.08
Se: 0.5000 0.5000 0.0000  -0.11
Se: 0.0000 0.0000 0.0000  -0.11

As for the space group: I4/mcm. The magnetic moment comes out at 4.00 μB per formula unit. As for the total energy: -6.05 eV per atom. The density of states at the Fermi level comes out at 0.96 states/eV per atom.

---

# KUCuSe3

KUCuSe3 after structural relaxation (PBE-GGA, Alexandria via LeMat-Bulk).

Unit cell a=4.1067 b=9.1179 c=9.5265 alpha=108.81 beta=90.00 gamma=90.00
Site moments in Bohr magnetons follow the coordinates.
Positions (direct):
K: 0.2500 0.2041 0.2464  0.00
K: 0.7500 0.7959 0.7536  0.00
U: 0.2500 0.6810 0.1620  2.11
U: 0.7500 0.3190 0.8380  2.11
Cu: 0.2500 0.0828 0.5922  -0.04
Cu: 0.7500 0.9172 0.4078  -0.04
Se: 0.7500 0.8862 0.1405  -0.06
Se: 0.2500 0.1138 0.8595  -0.06
Se: 0.2500 0.7925 0.4696  -0.05
Se: 0.7500 0.2075 0.5304  -0.05
Se: 0.7500 0.4591 0.1567  -0.07
Se: 0.2500 0.5409 0.8433  -0.07

As for the space group: P2_1/m. The magnetic moment comes out at 2.00 μB per formula unit. As for the total energy: -5.52 eV per atom. The density of states at the Fermi level comes out at 1.04 states/eV per atom.

---

# KU4Cu3Se12

KU4Cu3Se12 after structural relaxation (PBE-GGA, Alexandria via LeMat-Bulk).

Unit cell a=8.8254 b=8.8254 c=8.8254 alpha=109.47 beta=109.47 gamma=109.47
Site moments in Bohr magnetons follow the coordinates.
Positions (direct):
K: 0.0000 0.0000 0.0000  0.00
U: 0.5000 0.0000 0.0000  1.26
U: 0.5000 0.5000 0.5000  1.26
U: 0.0000 0.5000 0.0000  1.26
U: 0.0000 0.0000 0.5000  1.26
Cu: 0.0000 0.5000 0.5000  -0.07
Cu: 0.5000 0.5000 0.0000  -0.07
Cu: 0.5000 0.0000 0.5000  -0.07
Se: 0.3186 0.8313 0.1499  -0.07
Se: 0.6814 0.1687 0.8501  -0.07
Se: 0.6814 0.8313 0.5127  -0.07
Se: 0.8501 0.6814 0.1687  -0.07
Se: 0.8313 0.1499 0.3186  -0.07
Se: 0.1687 0.4873 0.3186  -0.07
Se: 0.4873 0.3186 0.1687  -0.07
Se: 0.1687 0.8501 0.6814  -0.07
Se: 0.3186 0.1687 0.4873  -0.07
Se: 0.1499 0.3186 0.8313  -0.07
Se: 0.8313 0.5127 0.6814  -0.07
Se: 0.5127 0.6814 0.8313  -0.07

As for the space group: Im-3. The magnetic moment comes out at 3.85 μB per formula unit. As for the total energy: -5.76 eV per atom. The density of states at the Fermi level comes out at 0.81 states/eV per atom.

---

# K2U3CuSe8

K2U3CuSe8 after structural relaxation (PBE-GGA, Alexandria via LeMat-Bulk).

Unit cell a=8.2810 b=8.2810 c=9.4801 alpha=64.10 beta=64.10 gamma=60.00
Site moments in Bohr magnetons follow the coordinates.
Positions (direct):
K: 0.1329 0.1329 0.6014  0.00
K: 0.4938 0.4938 0.5185  0.00
U: 0.4937 0.9938 0.0187  1.86
U: 0.9938 0.4938 0.0187  1.86
U: 0.4937 0.4938 0.0187  1.86
Cu: 0.9378 0.9378 0.1865  -0.05
Se: 0.2640 0.2640 0.2081  -0.07
Se: 0.7226 0.7226 0.8322  -0.07
Se: 0.2365 0.2365 0.8307  -0.08
Se: 0.6964 0.2365 0.8307  -0.08
Se: 0.2365 0.6964 0.8307  -0.08
Se: 0.7619 0.2672 0.2090  -0.07
Se: 0.2672 0.7619 0.2090  -0.07
Se: 0.7619 0.7619 0.2090  -0.07

As for the space group: R3m. The magnetic moment comes out at 5.00 μB per formula unit. As for the total energy: -5.91 eV per atom. The density of states at the Fermi level comes out at 1.17 states/eV per atom.

---

# KU3Cu4Se12

KU3Cu4Se12 after structural relaxation (PBE-GGA, Alexandria via LeMat-Bulk).

Unit cell a=9.0033 b=9.0033 c=9.0033 alpha=106.94 beta=106.94 gamma=106.94
Positions (direct):
K: 0.0000 0.0000 0.0000
U: 0.5620 0.4380 0.0000
U: 0.4380 0.0000 0.5620
U: 0.0000 0.5620 0.4380
Cu: 0.9338 0.0662 0.5000
Cu: 0.0662 0.5000 0.9338
Cu: 0.5000 0.9338 0.0662
Cu: 0.5000 0.5000 0.5000
Se: 0.5000 0.3395 0.6605
Se: 0.9031 0.5000 0.0969
Se: 0.0969 0.9031 0.5000
Se: 0.5000 0.0969 0.9031
Se: 0.3589 0.9566 0.2448
Se: 0.2448 0.3589 0.9566
Se: 0.9566 0.2448 0.3589
Se: 0.6411 0.7552 0.0434
Se: 0.0434 0.6411 0.7552
Se: 0.7552 0.0434 0.6411
Se: 0.6605 0.5000 0.3395
Se: 0.3395 0.6605 0.5000

As for the space group: R32. The magnetic moment comes out at 0.00 μB per formula unit. As for the total energy: -5.24 eV per atom. The density of states at the Fermi level comes out at 0.80 states/eV per atom.

---

# K3UCu2Se6

K3UCu2Se6 after structural relaxation (PBE-GGA, Alexandria via LeMat-Bulk).

Unit cell a=8.0136 b=8.0136 c=7.8446 alpha=97.84 beta=97.84 gamma=133.09
Positions (direct):
K: 0.1804 0.8196 0.5000
K: 0.8196 0.1804 0.5000
K: 0.5000 0.5000 0.5000
U: 0.0000 0.0000 0.0000
Cu: 0.4094 0.5906 0.0000
Cu: 0.5906 0.4094 0.0000
Se: 0.8639 0.5855 0.8214
Se: 0.7885 0.7885 0.2443
Se: 0.1361 0.4145 0.1786
Se: 0.5855 0.8639 0.8214
Se: 0.2115 0.2115 0.7557
Se: 0.4145 0.1361 0.1786

As for the space group: C2/m. The magnetic moment comes out at 0.00 μB per formula unit. As for the total energy: -4.46 eV per atom. The density of states at the Fermi level comes out at 0.69 states/eV per atom.

---

# K2UCuSe6

K2UCuSe6 after structural relaxation (PBE-GGA, Alexandria via LeMat-Bulk).

Unit cell a=7.3707 b=7.3708 c=7.2821 alpha=60.10 beta=60.10 gamma=90.15
Positions (direct):
K: 0.2503 0.7497 0.5000
K: 0.7497 0.2503 0.5000
U: 0.0000 0.0000 0.0000
Cu: 0.5000 0.5000 0.0000
Se: 0.2545 0.7455 0.0000
Se: 0.7449 0.7449 0.9997
Se: 0.2568 0.2569 0.4845
Se: 0.7455 0.2545 0.0000
Se: 0.2551 0.2551 0.0003
Se: 0.7432 0.7431 0.5155

As for the space group: C2/m. The magnetic moment comes out at 0.00 μB per formula unit. As for the total energy: -4.52 eV per atom. The density of states at the Fermi level comes out at 1.17 states/eV per atom.

---

# KUCuSe5

KUCuSe5 after structural relaxation (PBE-GGA, Alexandria via LeMat-Bulk).

Unit cell a=7.1248 b=7.1248 c=10.4992 alpha=99.70 beta=99.70 gamma=111.44
Positions (direct):
K: 0.3285 0.6715 0.2500
K: 0.6715 0.3285 0.7500
U: 0.0000 0.0000 0.5000
U: 0.0000 0.0000 0.0000
Cu: 0.6732 0.3268 0.2500
Cu: 0.3268 0.6732 0.7500
Se: 0.0508 0.9492 0.2500
Se: 0.9492 0.0508 0.7500
Se: 0.8609 0.2889 0.0838
Se: 0.1391 0.7111 0.9162
Se: 0.7111 0.1391 0.4162
Se: 0.2889 0.8609 0.5838
Se: 0.7206 0.6072 0.4344
Se: 0.2794 0.3928 0.5656
Se: 0.3928 0.2794 0.0656
Se: 0.6072 0.7206 0.9344

As for the space group: C2/c. The magnetic moment comes out at 0.00 μB per formula unit. As for the total energy: -4.85 eV per atom. The density of states at the Fermi level comes out at 0.62 states/eV per atom.

---

# KVCu2Se4

KVCu2Se4 after structural relaxation (PBE-GGA, Alexandria via LeMat-Bulk).

Unit cell a=6.6144 b=6.6144 c=6.6144 alpha=121.89 beta=121.89 gamma=86.76
Positions (direct):
K: 0.5000 0.5000 0.0000
V: 0.0000 0.0000 0.0000
Cu: 0.7500 0.2500 0.5000
Cu: 0.2500 0.7500 0.5000
Se: 0.6499 0.6499 0.6030
Se: 0.9531 0.3501 0.0000
Se: 0.3501 0.9531 0.0000
Se: 0.0469 0.0469 0.3970

As for the space group: I-42m. The magnetic moment comes out at 0.00 μB per formula unit. For the excess energy over the best structure of this formula in the dataset, the calculation gives 200 meV/atom. The density of states at the Fermi level comes out at 0.26 states/eV per atom.

---

# KVCu2Se4

KVCu2Se4 after structural relaxation (PBE-GGA, Alexandria via LeMat-Bulk).

Unit cell a=9.8467 b=9.8467 c=7.7195 alpha=90.00 beta=90.00 gamma=146.87
Positions (direct):
K: 0.1695 0.7984 0.7500
K: 0.7984 0.1695 0.2500
V: 0.6427 0.8575 0.7500
V: 0.8575 0.6427 0.2500
Cu: 0.7345 0.7345 0.5000
Cu: 0.7345 0.7345 0.0000
Cu: 0.3589 0.1425 0.2500
Cu: 0.1425 0.3589 0.7500
Se: 0.6219 0.4029 0.0012
Se: 0.4029 0.6219 0.5012
Se: 0.9900 0.9994 0.7500
Se: 0.4029 0.6219 0.9988
Se: 0.1912 0.7748 0.2500
Se: 0.7748 0.1912 0.7500
Se: 0.9994 0.9900 0.2500
Se: 0.6219 0.4029 0.4988

As for the space group: Ama2. The magnetic moment comes out at 0.00 μB per formula unit. For the excess energy over the best structure of this formula in the dataset, the calculation gives 0 meV/atom.